The following is a DFT calculation (PBE with a Hubbard U) of an optimized crystal structure of Ac2FeRuO6.

Lattice parameters (Å, degrees): 5.6866 5.6866 5.6866 119.92 119.92 90.13
Sites, in units of the cell vectors:
Ac (0.2500, 0.7500, 0.5000)
Ac (0.7500, 0.2500, 0.5000)
Fe (0.0000, 0.0000, 0.0000)
Ru (0.5000, 0.5000, 0.0000)
O (0.2479, 0.2479, 0.0000)
O (0.2480, 0.2480, 0.4960)
O (0.2480, 0.7520, 0.0000)
O (0.7520, 0.2480, 0.0000)
O (0.7521, 0.7521, 0.0000)
O (0.7520, 0.7520, 0.5040)

Calculated values
Its density is 9.02 g cm⁻³. As for the total magnetic moment: 0.6008 μB per atom. The value obtained for the total energy is -7.56 eV per atom.